Record 1
This record from the Open Quantum Materials Database describes an optimized crystal structure of NaMg2CuAs2. The functional is PBE.

Computed properties:
raw total energy	-3.20	eV/atom
symmetry	No. 99

Geometry as CIF:
```
data_NaMg2CuAs2
_cell_length_a 4.3379
_cell_length_b 4.3379
_cell_length_c 6.5859
_cell_angle_alpha 90.00
_cell_angle_beta 90.00
_cell_angle_gamma 90.00
_space_group_name_H-M_alt 'P 1'
_space_group_IT_number 1
loop_
_space_group_symop_operation_xyz
'x,y,z'
loop_
_atom_site_label
_atom_site_fract_x
_atom_site_fract_y
_atom_site_fract_z
_atom_site_occupancy
As1 0.0000 0.0000 0.2498 1
As2 0.5000 0.5000 0.7709 1
Cu1 0.0000 0.0000 0.6220 1
Mg1 0.5000 0.0000 0.9974 1
Mg2 0.0000 0.5000 0.9974 1
Na1 0.5000 0.5000 0.3625 1
```



Record 2
This record from the Open Quantum Materials Database describes an optimized crystal structure of TmBiMo. The functional is PBE.

Computed properties:
raw total energy	-5.98	eV/atom
symmetry	No. 216
offset from the most stable computed form	0.00	eV/f.u.

Geometry as CIF:
```
data_TmBiMo
_cell_length_a 4.7732
_cell_length_b 4.7732
_cell_length_c 4.7732
_cell_angle_alpha 60.00
_cell_angle_beta 60.00
_cell_angle_gamma 60.00
_space_group_name_H-M_alt 'P 1'
_space_group_IT_number 1
loop_
_space_group_symop_operation_xyz
'x,y,z'
loop_
_atom_site_label
_atom_site_fract_x
_atom_site_fract_y
_atom_site_fract_z
_atom_site_occupancy
Bi1 0.2500 0.2500 0.2500 1
Mo1 0.0000 0.0000 0.0000 1
Tm1 0.7500 0.7500 0.7500 1
```



Record 3
This record from the Open Quantum Materials Database describes an optimized crystal structure of Ta8Co5. The functional is PBE.

Computed properties:
raw total energy	-9.62	eV/atom
calculated formation energy	0.410	eV per atom
symmetry	No. 166
offset from the most stable computed form	2.39	eV/f.u.

Geometry as CIF:
```
data_Ta8Co5
_cell_length_a 9.2688
_cell_length_b 9.2688
_cell_length_c 9.2688
_cell_angle_alpha 33.08
_cell_angle_beta 33.08
_cell_angle_gamma 33.08
_space_group_name_H-M_alt 'P 1'
_space_group_IT_number 1
loop_
_space_group_symop_operation_xyz
'x,y,z'
loop_
_atom_site_label
_atom_site_fract_x
_atom_site_fract_y
_atom_site_fract_z
_atom_site_occupancy
Co1 0.0000 0.0000 0.0000 1
Co2 0.3504 0.3504 0.3504 1
Co3 0.4545 0.4545 0.4545 1
Co4 0.5455 0.5455 0.5455 1
Co5 0.6496 0.6496 0.6496 1
Ta1 0.5918 0.0943 0.0943 1
Ta2 0.0943 0.5918 0.0943 1
Ta3 0.1672 0.1672 0.1672 1
Ta4 0.9057 0.9057 0.4082 1
Ta5 0.0943 0.0943 0.5918 1
Ta6 0.8328 0.8328 0.8328 1
Ta7 0.9057 0.4082 0.9057 1
Ta8 0.4082 0.9057 0.9057 1
```



Record 4
This record from the Open Quantum Materials Database describes an optimized crystal structure of NaTcTeAuSe2. The functional is PBE.

Computed properties:
raw total energy	-4.41	eV/atom
symmetry	No. 63

Geometry as CIF:
```
data_NaTcTeAuSe2
_cell_length_a 7.9020
_cell_length_b 7.9020
_cell_length_c 10.6113
_cell_angle_alpha 90.00
_cell_angle_beta 90.00
_cell_angle_gamma 153.35
_space_group_name_H-M_alt 'P 1'
_space_group_IT_number 1
loop_
_space_group_symop_operation_xyz
'x,y,z'
loop_
_atom_site_label
_atom_site_fract_x
_atom_site_fract_y
_atom_site_fract_z
_atom_site_occupancy
Au1 0.1190 0.8810 0.2500 1
Au2 0.8810 0.1190 0.7500 1
Na1 0.7709 0.2291 0.2500 1
Na2 0.2291 0.7709 0.7500 1
Se1 0.1186 0.8814 0.0180 1
Se2 0.1186 0.8814 0.4820 1
Se3 0.8814 0.1186 0.5180 1
Se4 0.8814 0.1186 0.9820 1
Tc1 0.5000 0.5000 0.0000 1
Tc2 0.5000 0.5000 0.5000 1
Te1 0.4438 0.5562 0.2500 1
Te2 0.5562 0.4438 0.7500 1
```